# 1
First-principles (GGA-PBE) data for an optimized crystal structure of CdBi2F2, as listed in Alexandria.

Cell lengths 5.2284, 5.2284, 7.8635 Å; angles 90.00, 90.00, 90.00 degrees
Closest atoms and distances in Å follow each position.
Sites, in units of the cell vectors:
Cd  0.0000  0.0000  0.0000  2 F 2.57
Cd  0.5000  0.5000  0.5000  2 F 2.57
Bi  0.0000  0.5000  0.2500  4 F 2.68
Bi  0.0000  0.5000  0.7500  4 F 2.68
Bi  0.5000  0.0000  0.2500  4 F 2.68
Bi  0.5000  0.0000  0.7500  4 F 2.68
F  0.0000  0.0000  0.3271  1 Cd 2.57, 4 Bi 2.68, 1 F 2.72
F  0.0000  0.0000  0.6729  1 Cd 2.57, 4 Bi 2.68, 1 F 2.72
F  0.5000  0.5000  0.1729  1 Cd 2.57, 4 Bi 2.68, 1 F 2.72
F  0.5000  0.5000  0.8271  1 Cd 2.57, 4 Bi 2.68, 1 F 2.72

Results
**E**: -33.06 eV for the cell shown
**Calculated volume**: 215.0 Å³ per cell
**Raw formation energy**: -0.8222 eV per atom
**Energy above the lowest structure with this stoichiometry**: 0.073 eV/atom


# 2
First-principles (GGA-PBE) data for an optimized crystal structure of LaTa2Bi4, as listed in Alexandria.

Cell lengths 5.9766, 5.9766, 14.4760 Å; angles 90.00, 90.00, 90.00 degrees
Closest atoms and distances in Å follow each position.
Sites, in units of the cell vectors:
La  0.0000  0.0000  0.0000  6 Bi 2.99-3.30
La  0.5000  0.5000  0.5000  6 Bi 2.99-3.30
Ta  0.0000  0.0000  0.4182  1 Ta 2.37
Ta  0.0000  0.0000  0.5818  1 Ta 2.37
Ta  0.5000  0.5000  0.0818  1 Ta 2.37
Ta  0.5000  0.5000  0.9182  1 Ta 2.37
Bi  0.0000  0.0000  0.2277  1 Ta 2.76
Bi  0.0000  0.0000  0.7723  1 Ta 2.76
Bi  0.0000  0.5000  0.0000  2 La 2.99, 4 Ta 3.21
Bi  0.0000  0.5000  0.5000  2 La 2.99, 4 Ta 3.21
Bi  0.5000  0.0000  0.0000  2 La 2.99, 4 Ta 3.21
Bi  0.5000  0.0000  0.5000  2 La 2.99, 4 Ta 3.21
Bi  0.5000  0.5000  0.2723  1 Ta 2.76
Bi  0.5000  0.5000  0.7277  1 Ta 2.76

Results
**E**: -76.61 eV for the cell shown
**Calculated volume**: 517.1 Å³ per cell
**Energy relative to the elements**: 5.85 eV per formula unit